Entry 1:
## NdDy5 (PBE)

Data for an optimized crystal structure of NdDy5.

Cell: 7.9704 7.9704 5.0443 Å, 90.00 90.00 143.16°
Sites, in units of the cell vectors:
Nd  0.0000  0.0000  0.0000
Dy  0.1672  0.8328  0.5000
Dy  0.3322  0.6678  0.0000
Dy  0.5000  0.5000  0.5000
Dy  0.6678  0.3322  0.0000
Dy  0.8328  0.1672  0.5000

Summary:
The relative energy among the computed polymorphs comes out at 0 meV/atom.



Entry 2:
## La2PrGa4Pt3 (PBE)

Data for an optimized crystal structure of La2PrGa4Pt3.

Cell: 4.3540 4.3540 11.7258 Å, 90.00 90.00 90.00°
Sites, in units of the cell vectors:
La  0.0000  0.5000  0.2206
La  0.5000  0.0000  0.7794
Pr  0.0000  0.0000  0.5000
Ga  0.0000  0.0000  0.0000
Ga  0.0000  0.5000  0.6727
Ga  0.5000  0.0000  0.3273
Ga  0.5000  0.5000  0.0000
Pt  0.0000  0.5000  0.8828
Pt  0.5000  0.0000  0.1172
Pt  0.5000  0.5000  0.5000



no.,energy of formation from the pure elements (meV/atom)
1,19
2,-860